First-principles (PBE+U) data for a relaxed structure of Al2VO, as listed in Alexandria via LeMat-Bulk.

Cell: 4.3298 4.3298 4.3298 Å, 60.00 60.00 60.00°
Fractional positions:
O 0.0000 0.0000 0.0000
Al 0.2500 0.2500 0.2500
Al 0.7500 0.7500 0.7500
V 0.5000 0.5000 0.5000

symmetry = Fm-3m
DFT total energy = -17.285 eV/cell
D(E_F) = 0.4121 states/eV/atom
magnetization = 0.4 μB per cell